Record 1
An optimized crystal structure of NiRuPt2, computed with PBE.

Cell: 2.735 3.767 5.499 Å, 90.00 90.00 90.00°
Fractional positions:
Ni1 0.000 0.000 0.000
Ru1 0.500 0.500 0.765
Pt1 0.000 0.000 0.520
Pt2 0.500 0.500 0.242

Computed properties:
For the calculated total energy, the calculation gives -6.76 eV/atom. Its formation energy is 0.02 eV/atom. The energy above the lowest structure with this stoichiometry is 4.2 kJ per mole of atoms.

Record 2
An optimized crystal structure of NdBeIr, computed with PBE.

Cell: 6.640 6.640 5.743 Å, 90.00 90.00 90.00°
Fractional positions:
Nd1 0.223 0.223 0.000
Nd2 0.277 0.723 0.250
Nd3 0.723 0.277 0.750
Nd4 0.777 0.777 0.500
Be1 0.107 0.107 0.500
Be2 0.393 0.607 0.750
Be3 0.607 0.393 0.250
Be4 0.893 0.893 0.000
Ir1 0.149 0.851 0.750
Ir2 0.351 0.351 0.500
Ir3 0.649 0.649 0.000
Ir4 0.851 0.149 0.250

Computed properties:
For the calculated total energy, the calculation gives -5.99 eV/atom. Its formation energy is -0.21 eV/atom. The energy above the lowest structure with this stoichiometry is 34.4 kJ per mole of atoms.

Record 3
An optimized crystal structure of ZrBiPdPt2, computed with PBE.

Cell: 4.992 4.992 4.746 Å, 90.00 90.00 90.00°
Fractional positions:
Zr1 0.000 0.000 0.000
Bi1 0.500 0.500 0.000
Pd1 0.000 0.000 0.500
Pt1 0.000 0.500 0.500
Pt2 0.500 0.000 0.500

Computed properties:
For the calculated total energy, the calculation gives -5.49 eV/atom. Its formation energy is 0.45 eV/atom.

Copy entry 3 word for word.
An optimized crystal structure of ZrBiPdPt2, computed with PBE.

Cell: 4.992 4.992 4.746 Å, 90.00 90.00 90.00°
Fractional positions:
Zr1 0.000 0.000 0.000
Bi1 0.500 0.500 0.000
Pd1 0.000 0.000 0.500
Pt1 0.000 0.500 0.500
Pt2 0.500 0.000 0.500

Computed properties:
For the calculated total energy, the calculation gives -5.49 eV/atom. Its formation energy is 0.45 eV/atom.

Question: Among the records above, which one has the lowest calculated total energy?
Answer: NiRuPt2